1.
A relaxed Rb3LiAs crystal. Source: Alexandria via LeMat-Bulk, functional PBE-GGA. Values from VASP.

The structure in Quantum ESPRESSO input format:
```
&SYSTEM
  ibrav = 0, nat = 5, ntyp = 3
/
ATOMIC_SPECIES
As 74.92 As.upf
Rb 85.47 Rb.upf
Li 6.94 Li.upf
CELL_PARAMETERS angstrom
6.802 0.000 0.000
0.000 6.802 0.000
0.000 0.000 6.802
ATOMIC_POSITIONS crystal
As 0.000 0.000 0.000
Rb 0.000 0.500 0.000
Rb 0.500 0.000 0.000
Rb 0.000 0.000 0.500
Li 0.500 0.500 0.500
```

formation energy = 0.05 eV/atom
excess energy over the best structure of this formula in the dataset = 0.0 meV/atom
density of states at the Fermi level = 1.7771 states/eV per atom

2.
A relaxed LiTcOs4 crystal. Source: Alexandria via LeMat-Bulk, functional PBE-GGA. Values from VASP.

The structure in Quantum ESPRESSO input format:
```
&SYSTEM
  ibrav = 0, nat = 6, ntyp = 3
/
ATOMIC_SPECIES
Os 190.23 Os.upf
Li 6.94 Li.upf
Tc 98.00 Tc.upf
CELL_PARAMETERS angstrom
0.000 3.606 3.606
3.606 0.000 3.606
3.606 3.606 0.000
ATOMIC_POSITIONS crystal
Os 0.375 0.375 0.876
Li 0.000 0.000 0.000
Tc 0.750 0.750 0.750
Os 0.876 0.375 0.375
Os 0.375 0.876 0.375
Os 0.375 0.375 0.375
```

formation energy = 0.59 eV/atom
density of states at the Fermi level = 1.2533 states/eV per atom

no.,total energy (eV/cell)
1,-9.20
2,-53.67